# 1
The following is a DFT calculation (PBE) of BeReTe2 after structural relaxation.

Unit cell a=4.2350 b=4.2350 c=6.7603 alpha=69.48 beta=69.48 gamma=47.16
Closest atoms and distances in Å follow each position.
Fractional positions:
Re: 0.2500 0.2500 0.2500  6 Te 2.72-2.77
Te: 0.0367 0.0367 0.0101  2 Be 2.54, 3 Re 2.72-2.77
Te: 0.4633 0.4633 0.4899  2 Be 2.54, 3 Re 2.72-2.77
Be: 0.7500 0.7500 0.7500  4 Te 2.54

Properties
Fermi-level density of states	3.80	states/eV/cell
total DFT energy (no corrections)	-4.9605	eV/atom

# 2
The following is a DFT calculation (PBE) of BeRe2Te after structural relaxation.

Unit cell a=4.4618 b=4.4618 c=4.4618 alpha=60.00 beta=60.00 gamma=60.00
Closest atoms and distances in Å follow each position.
Fractional positions:
Re: 0.0000 0.0000 0.0000  4 Te 2.73, 4 Re 2.73
Re: 0.7500 0.7500 0.7500  4 Be 2.73, 4 Re 2.73
Be: 0.5000 0.5000 0.5000  4 Te 2.73, 4 Re 2.73
Te: 0.2500 0.2500 0.2500  4 Be 2.73, 4 Re 2.73

Properties
energy above the lowest structure with this stoichiometry	457	meV/atom
Fermi-level density of states	4.06	states/eV/cell
total DFT energy (no corrections)	-7.1497	eV/atom

# 3
The following is a DFT calculation (PBE) of BeRe2Te after structural relaxation.

Unit cell a=3.1579 b=3.1579 c=6.1139 alpha=90.00 beta=90.00 gamma=90.00
Closest atoms and distances in Å follow each position.
Fractional positions:
Re: 0.0000 0.0000 0.9443  4 Be 2.35
Re: 0.5000 0.5000 0.2316  1 Be 2.49, 4 Te 2.77
Te: 0.0000 0.0000 0.4998  5 Re 2.72-2.77, 4 Be 2.99
Be: 0.5000 0.5000 0.8243  5 Re 2.35-2.49

Properties
energy above the lowest structure with this stoichiometry	0	meV/atom
Fermi-level density of states	1.78	states/eV/cell
total DFT energy (no corrections)	-7.6066	eV/atom

# 4
The following is a DFT calculation (PBE) of BeRe2Te after structural relaxation.

Unit cell a=2.8458 b=2.8458 c=8.7998 alpha=90.00 beta=90.00 gamma=112.75
Closest atoms and distances in Å follow each position.
Fractional positions:
Be: 0.5000 0.5000 0.7860  2 Re 2.35
Re: 0.0000 0.0000 0.9846  2 Be 2.35, 2 Re 2.61
Re: 0.5000 0.5000 0.2210  6 Re 2.61-2.85
Te: 0.0000 0.0000 0.5084  6 Te 2.85-3.15, 2 Be 2.91, 2 Re 2.98

Properties
energy above the lowest structure with this stoichiometry	442	meV/atom
Fermi-level density of states	3.76	states/eV/cell
total DFT energy (no corrections)	-7.1648	eV/atom

# 5
The following is a DFT calculation (PBE) of BeReTe2 after structural relaxation.

Unit cell a=8.5771 b=8.5771 c=8.5771 alpha=22.57 beta=22.57 gamma=22.57
Closest atoms and distances in Å follow each position.
Fractional positions:
Te: 0.8975 0.8975 0.8975  3 Be 2.52, 1 Re 2.57
Te: 0.1025 0.1025 0.1025  3 Be 2.52, 1 Re 2.57
Be: 0.5000 0.5000 0.5000  6 Te 2.52
Re: 0.0000 0.0000 0.0000  2 Te 2.57

Properties
Fermi-level density of states	3.29	states/eV/cell
total DFT energy (no corrections)	-4.7057	eV/atom

# 6
The following is a DFT calculation (PBE) of BeRe2Te after structural relaxation.

Unit cell a=8.3420 b=8.3420 c=8.3420 alpha=20.67 beta=20.67 gamma=20.67
Closest atoms and distances in Å follow each position.
Fractional positions:
Re: 0.2552 0.2552 0.2552  3 Re 2.67, 3 Te 2.83
Re: 0.0050 0.0050 0.0050  3 Be 2.46, 3 Re 2.67
Te: 0.4967 0.4967 0.4967  3 Be 2.74, 3 Re 2.83, 6 Te 2.99
Be: 0.7431 0.7431 0.7431  3 Re 2.46, 3 Te 2.74

Properties
energy above the lowest structure with this stoichiometry	223	meV/atom
Fermi-level density of states	3.34	states/eV/cell
total DFT energy (no corrections)	-7.3833	eV/atom

# 7
The following is a DFT calculation (PBE) of BeRe2Te after structural relaxation.

Unit cell a=3.1026 b=3.1026 c=6.3568 alpha=90.00 beta=90.00 gamma=90.00
Closest atoms and distances in Å follow each position.
Fractional positions:
Re: 0.0000 0.0000 0.9422  1 Re 2.44, 4 Be 2.51
Re: 0.0000 0.0000 0.5578  1 Re 2.44, 4 Be 2.51
Te: 0.5000 0.5000 0.2500  8 Re 2.94, 4 Te 3.10, 2 Be 3.18
Be: 0.5000 0.5000 0.7500  8 Re 2.51

Properties
energy above the lowest structure with this stoichiometry	189	meV/atom
Fermi-level density of states	2.36	states/eV/cell
total DFT energy (no corrections)	-7.4173	eV/atom

# 8
The following is a DFT calculation (PBE) of TiBeReTe2 after structural relaxation.

Unit cell a=5.2139 b=4.7811 c=5.2139 alpha=90.00 beta=90.00 gamma=90.00
Closest atoms and distances in Å follow each position.
Fractional positions:
Te: 0.5000 0.0000 0.0000  2 Re 2.61
Te: 0.0000 0.0000 0.5000  2 Re 2.61
Be: 0.5000 0.5000 0.5000  8 Te 3.54, 4 Ti 3.69
Re: 0.0000 0.0000 0.0000  2 Ti 2.39, 4 Te 2.61
Ti: 0.0000 0.5000 0.0000  2 Re 2.39

Properties
Fermi-level density of states	6.14	states/eV/cell
total DFT energy (no corrections)	-4.9178	eV/atom

# 9
The following is a DFT calculation (PBE) of YBe2ReTe after structural relaxation.

Unit cell a=4.5028 b=5.6308 c=4.5028 alpha=90.00 beta=90.00 gamma=90.00
Closest atoms and distances in Å follow each position.
Fractional positions:
Y: 0.0000 0.5000 0.0000  2 Te 2.82
Re: 0.5000 0.5000 0.5000  4 Y 3.18
Te: 0.0000 0.0000 0.0000  4 Be 2.25
Be: 0.0000 0.0000 0.5000  2 Te 2.25
Be: 0.5000 0.0000 0.0000  2 Te 2.25

Properties
Fermi-level density of states	3.74	states/eV/cell
total DFT energy (no corrections)	-4.3855	eV/atom

# 10
The following is a DFT calculation (PBE) of ThBe17Re after structural relaxation.

Unit cell a=5.7210 b=5.7210 c=5.7210 alpha=83.13 beta=83.13 gamma=83.13
Closest atoms and distances in Å follow each position.
Fractional positions:
Be: 0.9120 0.9120 0.9120  1 Be 2.10
Be: 0.2830 0.7073 0.0096  6 Be 2.07-2.31
Be: 0.0017 0.4997 0.0017  10 Be 2.12-2.36
Be: 0.0017 0.0017 0.4997  10 Be 2.12-2.36
Be: 0.8599 0.3364 0.3364  9 Be 2.14-2.36
Be: 0.1638 0.6502 0.6502  9 Be 2.23-2.46
Be: 0.1023 0.1023 0.1023  7 Be 2.10-2.30
Be: 0.2830 0.0096 0.7073  6 Be 2.07-2.31
Be: 0.7073 0.0096 0.2830  6 Be 2.07-2.31
Be: 0.3364 0.8599 0.3364  9 Be 2.14-2.36
Be: 0.0096 0.7073 0.2830  6 Be 2.07-2.31
Be: 0.6502 0.6502 0.1638  9 Be 2.23-2.46
Be: 0.6502 0.1638 0.6502  9 Be 2.23-2.46
Be: 0.4997 0.0017 0.0017  10 Be 2.12-2.36
Be: 0.0096 0.2830 0.7073  6 Be 2.07-2.31
Be: 0.3364 0.3364 0.8599  9 Be 2.14-2.36
Be: 0.7073 0.2830 0.0096  6 Be 2.07-2.31
Th: 0.6589 0.6589 0.6589  19 Be 2.77-2.93
Re: 0.3268 0.3268 0.3268  10 Be 2.48-2.67

Properties
Fermi-level density of states	7.00	states/eV/cell
total DFT energy (no corrections)	-4.3847	eV/atom
E_form	-0.01	eV per atom

# 11
The following is a DFT calculation (PBE) of Ti5Be4Re after structural relaxation.

Unit cell a=3.0485 b=3.0485 c=14.3832 alpha=90.00 beta=90.00 gamma=90.00
Closest atoms and distances in Å follow each position.
Fractional positions:
Be: 0.0000 0.0000 0.7947  8 Ti 2.58, 1 Be 2.84
Be: 0.0000 0.0000 0.4027  8 Ti 2.57-2.58, 2 Be 2.80-2.84
Be: 0.0000 0.0000 0.2053  8 Ti 2.58, 1 Be 2.84
Be: 0.0000 0.0000 0.5973  8 Ti 2.57-2.58, 2 Be 2.80-2.84
Ti: 0.5000 0.5000 0.5000  8 Be 2.57, 2 Ti 2.82
Ti: 0.5000 0.5000 0.6964  8 Be 2.58, 2 Ti 2.82-2.84
Ti: 0.5000 0.5000 0.1061  4 Be 2.58, 4 Re 2.64, 1 Ti 2.84
Ti: 0.5000 0.5000 0.3036  8 Be 2.58, 2 Ti 2.82-2.84
Ti: 0.5000 0.5000 0.8939  4 Be 2.58, 4 Re 2.64, 1 Ti 2.84
Re: 0.0000 0.0000 0.0000  8 Ti 2.64, 2 Be 2.95

Properties
Fermi-level density of states	5.69	states/eV/cell
total DFT energy (no corrections)	-6.8780	eV/atom
E_form	-0.20	eV per atom

# 12
The following is a DFT calculation (PBE) of Ti2BeRe after structural relaxation.

Unit cell a=3.1306 b=3.1306 c=5.7937 alpha=90.00 beta=90.00 gamma=90.00
Closest atoms and distances in Å follow each position.
Fractional positions:
Ti: 0.0000 0.0000 0.2435  4 Be 2.62, 4 Re 2.67, 1 Ti 2.82
Ti: 0.0000 0.0000 0.7565  4 Be 2.62, 4 Re 2.67, 1 Ti 2.82
Be: 0.5000 0.5000 0.0000  8 Ti 2.62, 2 Re 2.90
Re: 0.5000 0.5000 0.5000  8 Ti 2.67, 2 Be 2.90

Properties
energy above the lowest structure with this stoichiometry	0	meV/atom
Fermi-level density of states	3.25	states/eV/cell
total DFT energy (no corrections)	-8.2901	eV/atom
E_form	-0.30	eV per atom

# 13
The following is a DFT calculation (PBE) of TiBe2Re after structural relaxation.

Unit cell a=4.0558 b=4.0558 c=4.0558 alpha=60.00 beta=60.00 gamma=60.00
Closest atoms and distances in Å follow each position.
Fractional positions:
Be: 0.2500 0.2500 0.2500  4 Re 2.48, 4 Ti 2.48
Be: 0.7500 0.7500 0.7500  4 Ti 2.48, 4 Re 2.48
Ti: 0.0000 0.0000 0.0000  8 Be 2.48
Re: 0.5000 0.5000 0.5000  8 Be 2.48

Properties
energy above the lowest structure with this stoichiometry	0	meV/atom
Fermi-level density of states	2.18	states/eV/cell
total DFT energy (no corrections)	-7.0533	eV/atom
E_form	-0.10	eV per atom

# 14
The following is a DFT calculation (PBE) of TiBe9Re2 after structural relaxation.

Unit cell a=4.3600 b=4.3600 c=13.9471 alpha=90.00 beta=90.00 gamma=120.00
Closest atoms and distances in Å follow each position.
Fractional positions:
Be: 0.1692 0.3384 0.1251  7 Be 2.14-2.21
Be: 0.0000 0.0000 0.7500  6 Be 2.16
Be: 0.8308 0.6616 0.6251  7 Be 2.14-2.21
Be: 0.1692 0.8308 0.1251  7 Be 2.14-2.21
Be: 0.6616 0.8308 0.3749  7 Be 2.14-2.21
Be: 0.1692 0.8308 0.3749  7 Be 2.14-2.21
Be: 0.8308 0.1692 0.8749  7 Be 2.14-2.21
Be: 0.3384 0.1692 0.6251  7 Be 2.14-2.21
Be: 0.8308 0.6616 0.8749  7 Be 2.14-2.21
Be: 0.0000 0.0000 0.2500  6 Be 2.16
Be: 0.6667 0.3333 0.7500  6 Be 2.14
Be: 0.3333 0.6667 0.2500  6 Be 2.14
Be: 0.8308 0.1692 0.6251  7 Be 2.14-2.21
Be: 0.6616 0.8308 0.1251  7 Be 2.14-2.21
Be: 0.0000 0.0000 0.5000  6 Be 2.16
Be: 0.0000 0.0000 0.0000  6 Be 2.16
Be: 0.1692 0.3384 0.3749  7 Be 2.14-2.21
Be: 0.3384 0.1692 0.8749  7 Be 2.14-2.21
Ti: 0.6667 0.3333 0.2500  18 Be 2.52-2.79
Ti: 0.3333 0.6667 0.7500  18 Be 2.52-2.79
Re: 0.6667 0.3333 0.4670  12 Be 2.53-2.56, 3 Re 2.68
Re: 0.3333 0.6667 0.9670  12 Be 2.53-2.56, 3 Re 2.68
Re: 0.6667 0.3333 0.0330  12 Be 2.53-2.56, 3 Re 2.68
Re: 0.3333 0.6667 0.5330  12 Be 2.53-2.56, 3 Re 2.68

Properties
Fermi-level density of states	6.37	states/eV/cell
total DFT energy (no corrections)	-5.8342	eV/atom
E_form	-0.31	eV per atom

# 15
The following is a DFT calculation (PBE) of Ti2BeRe after structural relaxation.

Unit cell a=4.3293 b=4.3293 c=4.3293 alpha=60.00 beta=60.00 gamma=60.00
Closest atoms and distances in Å follow each position.
Fractional positions:
Be: 0.0000 0.0000 0.0000  8 Ti 2.65
Ti: 0.2500 0.2500 0.2500  4 Re 2.65, 4 Be 2.65
Ti: 0.7500 0.7500 0.7500  4 Be 2.65, 4 Re 2.65
Re: 0.5000 0.5000 0.5000  8 Ti 2.65

Properties
energy above the lowest structure with this stoichiometry	28	meV/atom
Fermi-level density of states	2.29	states/eV/cell
total DFT energy (no corrections)	-8.2616	eV/atom
E_form	-0.27	eV per atom

# 16
The following is a DFT calculation (PBE) of Ti2BeRe after structural relaxation.

Unit cell a=6.9262 b=6.9262 c=5.4766 alpha=50.78 beta=50.78 gamma=90.00
Closest atoms and distances in Å follow each position.
Fractional positions:
Re: 0.7500 0.2500 0.5000  2 Be 2.45, 4 Ti 2.61
Re: 0.0000 0.0000 0.0000  2 Be 2.45, 4 Ti 2.61
Ti: 0.6081 0.1250 0.2500  2 Be 2.45, 2 Ti 2.46, 2 Re 2.61
Ti: 0.3750 0.3919 0.7500  2 Be 2.45, 2 Ti 2.46, 2 Re 2.61
Ti: 0.1419 0.6250 0.2500  2 Be 2.45, 2 Ti 2.46, 2 Re 2.61
Ti: 0.8750 0.8581 0.7500  2 Be 2.45, 2 Ti 2.46, 2 Re 2.61
Be: 0.2500 0.7500 0.5000  4 Ti 2.45, 2 Re 2.45
Be: 0.5000 0.5000 0.0000  4 Ti 2.45, 2 Re 2.45

Properties
energy above the lowest structure with this stoichiometry	619	meV/atom
Fermi-level density of states	8.99	states/eV/cell
total DFT energy (no corrections)	-7.6709	eV/atom
E_form	0.32	eV per atom

# 17
The following is a DFT calculation (PBE) of Ti2BeRe after structural relaxation.

Unit cell a=3.1772 b=4.2418 c=4.2418 alpha=90.00 beta=90.00 gamma=90.00
Closest atoms and distances in Å follow each position.
Fractional positions:
Be: 0.5000 0.0000 0.0000  8 Ti 2.65
Ti: 0.0000 0.5000 0.0000  4 Re 2.65, 4 Be 2.65
Ti: 0.0000 0.0000 0.5000  4 Re 2.65, 4 Be 2.65
Re: 0.5000 0.5000 0.5000  8 Ti 2.65

Properties
energy above the lowest structure with this stoichiometry	30	meV/atom
Fermi-level density of states	3.52	states/eV/cell
total DFT energy (no corrections)	-8.2599	eV/atom
E_form	-0.27	eV per atom

# 18
The following is a DFT calculation (PBE) of Ti3BeRe after structural relaxation.

Unit cell a=4.2759 b=4.2759 c=4.2759 alpha=90.00 beta=90.00 gamma=90.00
Closest atoms and distances in Å follow each position.
Fractional positions:
Be: 0.0000 0.0000 0.0000  6 Ti 2.14
Ti: 0.0000 0.0000 0.5000  2 Be 2.14
Ti: 0.0000 0.5000 0.0000  2 Be 2.14
Ti: 0.5000 0.0000 0.0000  2 Be 2.14
Re: 0.5000 0.5000 0.5000  12 Ti 3.02

Properties
energy above the lowest structure with this stoichiometry	0	meV/atom
Fermi-level density of states	6.60	states/eV/cell
total DFT energy (no corrections)	-7.4078	eV/atom
E_form	0.56	eV per atom

# 19
The following is a DFT calculation (PBE) of Ti2Be3Re after structural relaxation.

Unit cell a=4.6277 b=4.6277 c=4.8106 alpha=90.00 beta=118.69 gamma=120.07
Closest atoms and distances in Å follow each position.
Fractional positions:
Be: 0.0000 0.0000 0.5000  4 Be 2.31, 2 Re 2.41
Be: 0.5000 0.0000 0.5000  4 Be 2.31, 2 Re 2.41
Be: 0.5000 0.5000 0.5000  4 Be 2.31, 2 Re 2.41
Ti: 0.7539 0.3770 0.1309  3 Re 2.72, 9 Be 2.74-2.86, 4 Ti 2.87-2.95
Ti: 0.2461 0.6230 0.8691  3 Re 2.72, 9 Be 2.74-2.86, 4 Ti 2.87-2.95
Re: 0.0000 0.0000 0.0000  6 Be 2.41

Properties
Fermi-level density of states	5.71	states/eV/cell
total DFT energy (no corrections)	-6.8240	eV/atom
E_form	-0.25	eV per atom

# 20
The following is a DFT calculation (PBE) of TiBeRe2 after structural relaxation.

Unit cell a=3.7616 b=3.7616 c=9.1726 alpha=78.17 beta=78.17 gamma=90.00
Closest atoms and distances in Å follow each position.
Fractional positions:
Be: 0.5000 0.5000 0.0000  4 Re 2.51, 4 Ti 2.66
Be: 0.2500 0.7500 0.5000  4 Re 2.51, 4 Ti 2.66
Ti: 0.7500 0.2500 0.5000  4 Re 2.63, 4 Be 2.66
Ti: 0.0000 0.0000 0.0000  4 Re 2.63, 4 Be 2.66
Re: 0.5798 0.6250 0.2500  2 Re 2.43, 2 Be 2.51, 2 Ti 2.63
Re: 0.3750 0.8298 0.7500  2 Re 2.43, 2 Be 2.51, 2 Ti 2.63
Re: 0.8750 0.4202 0.7500  2 Re 2.43, 2 Be 2.51, 2 Ti 2.63
Re: 0.1702 0.1250 0.2500  2 Re 2.43, 2 Be 2.51, 2 Ti 2.63

Properties
energy above the lowest structure with this stoichiometry	398	meV/atom
Fermi-level density of states	8.77	states/eV/cell
total DFT energy (no corrections)	-8.6509	eV/atom
E_form	0.48	eV per atom